The following is a PBE calculation of a geometry-optimized CdTeRu2 structure, from Alexandria.

Unit cell a=4.560 b=4.560 c=3.289 alpha=90.00 beta=90.00 gamma=90.00
Fractional positions:
Cd 0.000 0.500 0.500
Ru 0.000 0.000 0.000
Ru 0.500 0.500 0.000
Te 0.500 0.000 0.500

Computed properties:
As for the crystal system: tetragonal. The calculation puts the total energy at -5.31 eV/atom. Its space-group type is P4/mmm (123).